Computed, not measured: a relaxed Re2BAuF crystal at the PBE level of DFT.

Properties
Its formation energy from raw total energies is 2.224 eV/atom.

Cell: 5.3189 5.3189 4.0143 Å, 90.00 90.00 90.00°
Space group P4/mmm (No. 123)
Symmetry-distinct sites (fractional):
Re 0.0000 0.5000 0.0000 x2
B 0.0000 0.0000 0.5000 x1
Au 0.0000 0.0000 0.0000 x1
F 0.5000 0.5000 0.5000 x1



Computed, not measured: a relaxed MgScBr2 crystal at the PBE level of DFT.

Properties
The energy above the most stable polymorph in this dataset comes out at 353 meV per atom. Its formation energy from raw total energies is -0.630 eV/atom.

Cell: 3.6851 3.6851 27.6595 Å, 90.00 90.00 120.00°
Space group R-3m (No. 166, hexagonal axes)
Symmetry-distinct sites (fractional):
Mg 0.0000 0.0000 0.0000 x3
Sc 0.0000 0.0000 0.5000 x3
Br 0.0000 0.0000 0.3913 x6



Computed, not measured: a relaxed Cu2AgSbPb crystal at the PBE level of DFT.

Properties
Its formation energy from raw total energies is 0.593 eV/atom.

Cell: 4.8771 4.8771 5.2379 Å, 90.00 90.00 90.00°
Space group P4/mmm (No. 123)
Symmetry-distinct sites (fractional):
Cu 0.0000 0.5000 0.0000 x2
Ag 0.0000 0.0000 0.0000 x1
Sb 0.0000 0.0000 0.5000 x1
Pb 0.5000 0.5000 0.5000 x1



Number 1: calculated total energy -5.12 eV/atom, D(E_F) 0.33 states/eV per atom. Number 2: calculated total energy -3.45 eV/atom, D(E_F) 0.96 states/eV per atom. Number 3: calculated total energy -3.18 eV/atom, D(E_F) 0.28 states/eV per atom.